# CsVNiO4 GGA+U relaxed
data_CsVNiO4
_symmetry_space_group_name_H-M 'P 1 21/m 1'
_symmetry_Int_Tables_number 11
_cell_length_a 5.2214
_cell_length_b 5.8444
_cell_length_c 8.6827
_cell_angle_alpha 90.00
_cell_angle_beta 105.14
_cell_angle_gamma 90.00
loop_
_symmetry_equiv_pos_as_xyz
'x,y,z'
'-x,-y,-z'
'-x,y+1/2,-z'
'x,-y+1/2,z'
loop_
_atom_site_label
_atom_site_type_symbol
_atom_site_fract_x
_atom_site_fract_y
_atom_site_fract_z
_atom_site_occupancy
Cs1 Cs 0.2040 0.2500 0.1463 1
V1 V 0.3829 0.2500 0.7054 1
Ni1 Ni 0.1036 0.7500 0.5019 1
O1 O 0.1572 0.0127 0.6567 1
O2 O 0.4143 0.7500 0.4203 1
O3 O 0.4345 0.7500 0.1026 1
# Magnetic moment, μB per formula unit: 2.0
# Energy, eV/atom: -6.058